{
  "formula": "B5C7",
  "functional": "PBE",
  "state": "optimized geometry",
  "n_ef_per_ev_cell": 2.4,
  "m_tot_mub_per_fu": 0.00,
  "formation_energy_ev_per_atom": 0.36,
  "de_polymorph_ev_per_fu": 1.17,
  "lattice_angstrom": [[6.024, -1.294, 0.000], [6.024, 1.294, 0.000], [-1.263, 0.000, 5.193]],
  "species": ["B", "B", "B", "B", "B", "C", "C", "C", "C", "C", "C", "C"],
  "fractional_positions": [[0.000, 0.000, 0.000], [0.003, 0.003, 0.497], [0.239, 0.239, 0.926], [0.361, 0.361, 0.622], [0.671, 0.671, 0.335], [0.265, 0.265, 0.366], [0.345, 0.345, 0.172], [0.595, 0.595, 0.039], [0.599, 0.599, 0.554], [0.663, 0.663, 0.834], [0.919, 0.919, 0.203], [0.923, 0.923, 0.709]]
}